(1)
DFT (GGA-PBE) results for a relaxed structure of Ca2AlCdN.

```
Ca2AlCdN
1.0
5.1526 0.0000 0.0000
0.0000 5.1526 0.0000
0.0000 0.0000 3.8705
Ca Al Cd N
2 1 1 1
Direct
0.0000 0.5000 0.0000
0.5000 0.0000 0.0000
0.0000 0.0000 0.5000
0.5000 0.5000 0.5000
0.0000 0.0000 0.0000
```

Results
- Raw formation energy: -0.5088 eV/atom
- Space-group type: No. 123
- Uncorrected energy: -19.53 eV per cell


(2)
DFT (GGA-PBE) results for a relaxed structure of NaCaAlCd.

```
NaCaAlCd
1.0
7.2279 0.0000 0.0000
0.0000 7.2279 0.0000
0.0000 0.0000 7.2279
Na Ca Al Cd
4 4 4 4
Direct
0.0000 0.0000 0.0000
0.0000 0.5000 0.5000
0.5000 0.0000 0.5000
0.5000 0.5000 0.0000
0.2500 0.2500 0.2500
0.2500 0.7500 0.7500
0.7500 0.2500 0.7500
0.7500 0.7500 0.2500
0.0000 0.0000 0.5000
0.0000 0.5000 0.0000
0.5000 0.0000 0.0000
0.5000 0.5000 0.5000
0.2500 0.2500 0.7500
0.2500 0.7500 0.2500
0.7500 0.2500 0.2500
0.7500 0.7500 0.7500
```

Results
- Space-group type: No. 216
- Uncorrected energy: -33.49 eV per cell


(3)
DFT (GGA-PBE) results for a relaxed structure of Ca2NbAlCd.

```
Ca2NbAlCd
1.0
5.5523 0.0000 0.0000
0.0000 5.5523 0.0000
0.0000 0.0000 5.1031
Ca Nb Al Cd
2 1 1 1
Direct
0.0000 0.5000 0.0000
0.5000 0.0000 0.0000
0.0000 0.0000 0.0000
0.0000 0.0000 0.5000
0.5000 0.5000 0.5000
```

Results
- Space-group type: No. 123
- Uncorrected energy: -14.92 eV per cell